Record 1
Entry from Alexandria via LeMat-Bulk: a relaxed Ce2Th crystal (PBE).

Calculated values
E above lowest polymorph: 96 meV per atom
Calculated formation energy: 0.35 eV per formula unit

Cell: 3.342 3.342 15.598 Å, 96.15 96.15 90.00°
Sites, in units of the cell vectors:
Ce: 0.834 0.334 0.668
Ce: 0.416 0.416 0.832
Ce: 0.666 0.166 0.332
Th: 0.250 0.750 0.500
Ce: 0.584 0.584 0.168
Th: 0.000 0.000 0.000

=====

Record 2
Entry from Alexandria via LeMat-Bulk: a relaxed Ca2Be2Ir crystal (PBE).

Calculated values
E above lowest polymorph: 119 meV per atom
Calculated formation energy: 0.97 eV per formula unit

Cell: 5.530 5.530 5.107 Å, 57.22 57.22 90.00°
Sites, in units of the cell vectors:
Ca: 0.250 0.750 0.500
Be: 0.661 0.661 0.678
Ca: 0.750 0.250 0.500
Ir: 0.000 0.000 0.000
Be: 0.339 0.339 0.322

=====

Record 3
Entry from Alexandria via LeMat-Bulk: a relaxed FeIrC2 crystal (PBE).

Calculated values
E above lowest polymorph: 756 meV per atom
Calculated formation energy: 5.22 eV per formula unit

Cell: 3.688 3.688 3.688 Å, 60.00 60.00 60.00°
Sites, in units of the cell vectors:
Ir: 0.500 0.500 0.500
C: 0.250 0.250 0.250
Fe: 0.000 0.000 0.000
C: 0.750 0.750 0.750